# 1
Computed, not measured: crystalline LiCa3Ho3Se8 at its relaxed geometry at the PBE level of DFT.

DFT total energy = -5.12 eV/atom
Volume = 394 Å³/f.u.
Total magnetic moment = 0.00 μB per formula unit

a = 8.1864 Å, b = 8.1860 Å, c = 8.2732 Å
α = 119.65°, β = 90.00°, γ = 120.00°
Closest atoms and distances in Å follow each position.
Element x y z (fractional)
Se 0.7444 0.9896 0.7349  2 Ho 2.85, 1 Li 2.85, 2 Ca 2.97
Se 0.2556 0.0104 0.2651  2 Ho 2.85, 1 Li 2.85, 2 Ca 2.97
Se 0.7548 0.0104 0.2651  2 Ho 2.85, 1 Li 2.85, 2 Ca 2.97
Se 0.2451 0.4902 0.7347  2 Ho 2.85, 1 Li 2.85, 2 Ca 2.97
Se 0.2452 0.9896 0.7349  2 Ho 2.85, 1 Li 2.85, 2 Ca 2.97
Se 0.2526 0.5052 0.2577  3 Ho 2.88, 3 Ca 2.94
Se 0.7549 0.5098 0.2653  2 Ho 2.85, 1 Li 2.85, 2 Ca 2.97
Se 0.7474 0.4948 0.7423  3 Ho 2.88, 3 Ca 2.94
Li 0.0000 0.0000 0.5000  6 Se 2.85
Ho 0.5000 0.5000 0.5000  6 Se 2.85-2.88
Ho 0.0000 0.5000 0.5000  6 Se 2.85-2.88
Ho 0.5000 0.0000 0.5000  6 Se 2.85-2.88
Ca 0.5000 0.5000 0.0000  6 Se 2.94-2.97
Ca 0.0000 0.0000 0.0000  6 Se 2.94-2.97
Ca 0.0000 0.5000 0.0000  6 Se 2.94-2.97

=====

# 2
Computed, not measured: crystalline BePtRh2 at its relaxed geometry at the PBE level of DFT.

DFT total energy = -6.36 eV/atom
DFT formation energy = -0.242 eV per atom
DOS at the Fermi energy = 6.2 states/eV per cell
Volume = 52 Å³/f.u.
Total magnetic moment = 0.04 μB per formula unit

a = 5.0368 Å, b = 5.0368 Å, c = 5.0368 Å
α = 147.77°, β = 129.04°, γ = 61.59°
Closest atoms and distances in Å follow each position.
Element x y z (fractional)
Rh 0.7116 0.2116 0.5000  2 Be 2.30
Rh 0.0000 0.0000 0.0000  4 Be 2.58, 6 Rh 2.80-2.86, 4 Pt 2.84-2.86
Pt 0.2880 0.7880 0.5000  2 Be 2.31
Be 0.5004 0.5004 0.0000  2 Rh 2.30, 2 Pt 2.31

=====

# 3
Computed, not measured: crystalline PmP2Pb at its relaxed geometry at the PBE level of DFT.

DFT total energy = -5.17 eV/atom
DFT formation energy = -0.346 eV per atom
DOS at the Fermi energy = 3.3 states/eV per cell
Volume = 92 Å³/f.u.
Total magnetic moment = 0.00 μB per formula unit

a = 5.0699 Å, b = 5.0699 Å, c = 5.0699 Å
α = 60.00°, β = 60.00°, γ = 60.00°
Closest atoms and distances in Å follow each position.
Element x y z (fractional)
P 0.7500 0.7500 0.7500  4 Pb 3.10, 4 Pm 3.10
P 0.2500 0.2500 0.2500  4 Pb 3.10, 4 Pm 3.10
Pm 0.0000 0.0000 0.0000  8 P 3.10
Pb 0.5000 0.5000 0.5000  8 P 3.10

=====

# 4
Computed, not measured: crystalline PrNd4Pu3S8 at its relaxed geometry at the PBE level of DFT.

DFT total energy = -8.18 eV/atom
DOS at the Fermi energy = 26.0 states/eV per cell
Volume = 371 Å³/f.u.
Total magnetic moment = 16.87 μB per formula unit

a = 8.0505 Å, b = 8.0806 Å, c = 8.0518 Å
α = 119.88°, β = 119.99°, γ = 90.00°
Closest atoms and distances in Å follow each position.
Element x y z (fractional)
S 0.7490 0.2559 0.4979  2 Pu 2.81, 3 Nd 2.84-2.89, 1 Pr 2.86
S 0.7463 0.7390 0.4926  3 Pu 2.81, 3 Nd 2.89
S 0.2537 0.2610 0.5074  3 Pu 2.81, 3 Nd 2.89
S 0.7421 0.7441 0.9931  2 Pu 2.81, 3 Nd 2.84-2.89, 1 Pr 2.86
S 0.2579 0.2559 0.0069  2 Pu 2.81, 3 Nd 2.84-2.89, 1 Pr 2.86
S 0.7489 0.2559 0.0069  2 Pu 2.81, 3 Nd 2.84-2.89, 1 Pr 2.86
S 0.2511 0.7441 0.9931  2 Pu 2.81, 3 Nd 2.84-2.89, 1 Pr 2.86
S 0.2510 0.7441 0.5021  2 Pu 2.81, 3 Nd 2.84-2.89, 1 Pr 2.86
Nd 0.5000 0.0000 0.0000  6 S 2.84
Nd 0.5000 0.0000 0.5000  6 S 2.89
Nd 0.0000 0.0000 0.5000  6 S 2.89
Nd 0.0000 0.0000 0.0000  6 S 2.89
Pu 0.5000 0.5000 0.0000  6 S 2.81
Pu 0.0000 0.5000 0.5000  6 S 2.81
Pu 0.5000 0.5000 0.5000  6 S 2.81
Pr 0.0000 0.5000 0.0000  6 S 2.86

=====

# 5
Computed, not measured: crystalline LiPb2O at its relaxed geometry at the PBE level of DFT.

DFT total energy = -3.84 eV/atom
DOS at the Fermi energy = 3.2 states/eV per cell
Volume = 105 Å³/f.u.
Total magnetic moment = 0.00 μB per formula unit

a = 5.6677 Å, b = 5.6677 Å, c = 7.6770 Å
α = 68.34°, β = 68.34°, γ = 90.00°
Closest atoms and distances in Å follow each position.
Element x y z (fractional)
Pb 0.7093 0.1250 0.2500  2 O 2.36
Pb 0.0407 0.6250 0.2500  2 O 2.36
Pb 0.8750 0.9593 0.7500  2 O 2.36
Pb 0.3750 0.2907 0.7500  2 O 2.36
O 0.7500 0.2500 0.5000  4 Pb 2.36
O 0.0000 0.0000 0.0000  4 Pb 2.36
Li 0.2500 0.7500 0.5000  4 Pb 2.88
Li 0.5000 0.5000 0.0000  4 Pb 2.88

=====

# 6
Computed, not measured: crystalline LiGaSn at its relaxed geometry at the PBE level of DFT.

DFT total energy = -3.21 eV/atom
DFT formation energy = -0.230 eV per atom
DOS at the Fermi energy = 0.4 states/eV per cell
Volume = 65 Å³/f.u.
Total magnetic moment = 0.00 μB per formula unit

a = 4.5972 Å, b = 7.2859 Å, c = 4.4865 Å
α = 90.00°, β = 59.21°, γ = 90.00°
Closest atoms and distances in Å follow each position.
Element x y z (fractional)
Sn 0.7662 0.8106 0.1307  3 Ga 2.74-2.75, 1 Sn 2.99, 3 Li 3.00-3.02
Sn 0.7661 0.4000 0.1307  3 Ga 2.74-2.75, 1 Sn 2.99, 3 Li 3.00-3.03
Li 0.4416 0.1057 0.7812  6 Ga 2.90-2.93
Li 0.4256 0.6056 0.8128  6 Sn 3.00-3.03
Ga 0.1041 0.2832 0.4550  1 Ga 2.60, 3 Sn 2.74-2.75, 1 Li 2.90
Ga 0.1042 0.9269 0.4550  1 Ga 2.60, 3 Sn 2.74-2.75, 1 Li 2.91

=====

# 7
Computed, not measured: crystalline Cs2NaCoB at its relaxed geometry at the PBE level of DFT.

DFT total energy = -1.75 eV/atom
DFT formation energy = 1.615 eV per atom
DOS at the Fermi energy = 11.8 states/eV per cell
Volume = 188 Å³/f.u.
Total magnetic moment = 1.96 μB per formula unit

a = 5.8171 Å, b = 5.5583 Å, c = 5.8171 Å
α = 90.00°, β = 90.00°, γ = 90.00°
Closest atoms and distances in Å follow each position.
Element x y z (fractional)
Cs 0.0000 0.0000 0.5000  2 Co 2.91
Cs 0.5000 0.0000 0.0000  2 Co 2.91
Co 0.0000 0.0000 0.0000  2 Na 2.78, 4 Cs 2.91
B 0.5000 0.5000 0.5000  8 Cs 4.02, 4 Na 4.11
Na 0.0000 0.5000 0.0000  2 Co 2.78

=====

# 8
Computed, not measured: crystalline Nd2Zn2GaRh5 at its relaxed geometry at the PBE level of DFT.

DFT total energy = -5.75 eV/atom
DFT formation energy = -0.562 eV per atom
DOS at the Fermi energy = 10.5 states/eV per cell
Volume = 173 Å³/f.u.
Total magnetic moment = 0.00 μB per formula unit

a = 3.5835 Å, b = 9.8239 Å, c = 9.8239 Å
α = 90.00°, β = 90.00°, γ = 90.00°
Closest atoms and distances in Å follow each position.
Element x y z (fractional)
Rh 0.5000 0.5000 0.0000  4 Zn 2.50
Rh 0.5000 0.1994 0.0610  2 Zn 2.56, 2 Ga 2.72
Rh 0.5000 0.4390 0.3006  2 Zn 2.56, 2 Ga 2.72
Rh 0.5000 0.8006 0.9390  2 Zn 2.56, 2 Ga 2.72
Rh 0.5000 0.5610 0.6994  2 Zn 2.56, 2 Ga 2.72
Rh 0.5000 0.3006 0.5610  2 Zn 2.56, 2 Ga 2.72
Rh 0.5000 0.0610 0.8006  2 Zn 2.56, 2 Ga 2.72
Rh 0.5000 0.0000 0.5000  4 Zn 2.50
Rh 0.5000 0.6994 0.4390  2 Zn 2.56, 2 Ga 2.72
Rh 0.5000 0.9390 0.1994  2 Zn 2.56, 2 Ga 2.72
Nd 0.0000 0.8258 0.6742  3 Zn 2.78-2.98, 2 Rh 3.01
Nd 0.0000 0.1742 0.3258  3 Zn 2.78-2.98, 2 Rh 3.01
Nd 0.0000 0.3258 0.8258  3 Zn 2.78-2.98, 2 Rh 3.01
Nd 0.0000 0.6742 0.1742  3 Zn 2.78-2.98, 2 Rh 3.01
Ga 0.0000 0.5000 0.5000  8 Rh 2.72
Ga 0.0000 0.0000 0.0000  8 Rh 2.72
Zn 0.0000 0.3746 0.1254  6 Rh 2.50-2.56, 1 Nd 2.78
Zn 0.0000 0.8746 0.3746  6 Rh 2.50-2.56, 1 Nd 2.78
Zn 0.0000 0.6254 0.8746  6 Rh 2.50-2.56, 1 Nd 2.78
Zn 0.0000 0.1254 0.6254  6 Rh 2.50-2.56, 1 Nd 2.78

=====

# 9
Computed, not measured: crystalline BaSbPb2 at its relaxed geometry at the PBE level of DFT.

DFT total energy = -3.74 eV/atom
DOS at the Fermi energy = 2.8 states/eV per cell
Volume = 151 Å³/f.u.
Total magnetic moment = 0.00 μB per formula unit

a = 5.7650 Å, b = 5.1277 Å, c = 5.1473 Å
α = 83.49°, β = 90.00°, γ = 90.00°
Closest atoms and distances in Å follow each position.
Element x y z (fractional)
Sb 0.5000 0.2500 0.2500  4 Pb 3.26, 2 Ba 3.42
Ba 0.5000 0.7500 0.7500  2 Sb 3.42, 4 Pb 3.70
Pb 0.0000 0.0524 0.0524  1 Pb 3.03, 2 Sb 3.26
Pb 0.0000 0.4476 0.4476  1 Pb 3.03, 2 Sb 3.26

=====

# 10
Computed, not measured: crystalline RbSb2Pb at its relaxed geometry at the PBE level of DFT.

DFT total energy = -3.40 eV/atom
DOS at the Fermi energy = 6.4 states/eV per cell
Volume = 163 Å³/f.u.
Total magnetic moment = 0.00 μB per formula unit

a = 4.4162 Å, b = 5.9705 Å, c = 24.7333 Å
α = 90.00°, β = 90.00°, γ = 90.00°
Closest atoms and distances in Å follow each position.
Element x y z (fractional)
Sb 0.7500 0.1607 0.6810  4 Pb 3.02-3.28
Sb 0.7500 0.6368 0.9846  2 Sb 2.85
Sb 0.2500 0.6607 0.8190  4 Pb 3.02-3.28
Sb 0.2500 0.8393 0.3190  4 Pb 3.02-3.28
Sb 0.7500 0.8632 0.4846  2 Sb 2.85
Sb 0.2500 0.3632 0.0154  2 Sb 2.85
Sb 0.2500 0.1368 0.5154  2 Sb 2.85
Sb 0.7500 0.3393 0.1810  4 Pb 3.02-3.28
Pb 0.2500 0.1620 0.7646  4 Sb 3.02-3.28
Pb 0.7500 0.8380 0.2354  4 Sb 3.02-3.28
Pb 0.2500 0.3380 0.2646  4 Sb 3.02-3.28
Pb 0.7500 0.6620 0.7354  4 Sb 3.02-3.28
Rb 0.2500 0.8650 0.1078  6 Sb 3.75-4.02, 2 Pb 3.86
Rb 0.7500 0.3650 0.3922  6 Sb 3.75-4.02, 2 Pb 3.86
Rb 0.7500 0.1350 0.8922  6 Sb 3.75-4.02, 2 Pb 3.86
Rb 0.2500 0.6350 0.6078  6 Sb 3.75-4.02, 2 Pb 3.86

=====

# 11
Computed, not measured: crystalline Y12Ni6Sn at its relaxed geometry at the PBE level of DFT.

DFT total energy = -6.52 eV/atom
DFT formation energy = -0.398 eV per atom
DOS at the Fermi energy = 22.5 states/eV per cell
Volume = 464 Å³/f.u.
Total magnetic moment = 0.00 μB per formula unit

a = 8.4484 Å, b = 8.4484 Å, c = 8.4484 Å
α = 109.47°, β = 109.47°, γ = 109.47°
Closest atoms and distances in Å follow each position.
Element x y z (fractional)
Y 0.3034 0.4912 0.1878  3 Ni 2.67-2.91
Y 0.1878 0.6966 0.8843  3 Ni 2.67-2.91
Y 0.6966 0.5088 0.8122  3 Ni 2.67-2.91
Y 0.5088 0.8122 0.6966  3 Ni 2.67-2.91
Y 0.3034 0.1157 0.8122  3 Ni 2.67-2.91
Y 0.6966 0.8843 0.1878  3 Ni 2.67-2.91
Y 0.1157 0.8122 0.3034  3 Ni 2.67-2.91
Y 0.8843 0.1878 0.6966  3 Ni 2.67-2.91
Y 0.8122 0.3034 0.1157  3 Ni 2.67-2.91
Y 0.8122 0.6966 0.5088  3 Ni 2.67-2.91
Y 0.1878 0.3034 0.4912  3 Ni 2.67-2.91
Y 0.4912 0.1878 0.3034  3 Ni 2.67-2.91
Ni 0.1225 0.6225 0.5000  1 Ni 2.39, 2 Y 2.67
Ni 0.5000 0.8775 0.3775  1 Ni 2.39, 2 Y 2.67
Ni 0.8775 0.3775 0.5000  1 Ni 2.39, 2 Y 2.67
Ni 0.5000 0.1225 0.6225  1 Ni 2.39, 2 Y 2.67
Ni 0.3775 0.5000 0.8775  1 Ni 2.39, 2 Y 2.67
Ni 0.6225 0.5000 0.1225  1 Ni 2.39, 2 Y 2.67
Sn 0.0000 0.0000 0.0000  12 Y 3.48